(1)
AcGaH2 after structural relaxation, computed with PBE.

Values from the calculation:
* Fermi-level density of states: 3.288 states/eV per cell
* relative energy among the computed polymorphs: 549 meV per atom
* theoretical density: 6.60 g/cm3
* calculated volume: 75.1 Å³/f.u.

Cell lengths 3.347, 3.347, 6.703 Å; angles 90.00, 90.00, 90.00 degrees
Sites, in units of the cell vectors:
H: 0.000 0.000 0.655
H: 0.000 0.000 0.345
Ac: 0.500 0.500 0.500
Ga: 0.500 0.500 0.000

(2)
BeTcGe after structural relaxation, computed with PBE.

Values from the calculation:
* Fermi-level density of states: 2.271 states/eV per cell
* relative energy among the computed polymorphs: 0 meV per atom
* theoretical density: 7.69 g/cm3
* calculated volume: 38.8 Å³/f.u.

Cell lengths 3.230, 4.725, 5.895 Å; angles 68.69, 74.10, 70.01 degrees
Sites, in units of the cell vectors:
Be: 0.129 0.369 0.373
Be: 0.871 0.631 0.627
Tc: 0.147 0.969 0.736
Tc: 0.853 0.031 0.264
Ge: 0.398 0.325 0.880
Ge: 0.602 0.675 0.120

(3)
TlZn2Br after structural relaxation, computed with PBE.

Values from the calculation:
* Fermi-level density of states: 0.593 states/eV per cell
* energy relative to the elements, uncorrected: -0.02 eV/atom
* relative energy among the computed polymorphs: 126 meV per atom
* theoretical density: 6.34 g/cm3
* calculated volume: 108.7 Å³/f.u.

Cell lengths 6.386, 6.386, 5.210 Å; angles 65.55, 65.55, 34.60 degrees
Sites, in units of the cell vectors:
Br: 0.750 0.750 0.750
Tl: 0.250 0.250 0.250
Zn: 0.003 0.003 0.959
Zn: 0.497 0.497 0.541

(4)
Ba4Mg3Zn2 after structural relaxation, computed with PBE.

Values from the calculation:
* Fermi-level density of states: 9.157 states/eV per cell
* theoretical density: 3.73 g/cm3
* total energy: -15.8 eV for the cell shown
* calculated volume: 335.0 Å³/f.u.

Cell lengths 4.567, 8.362, 9.457 Å; angles 106.56, 103.97, 90.00 degrees
Sites, in units of the cell vectors:
Ba: 0.236 0.699 0.473
Ba: 0.764 0.301 0.527
Ba: 0.579 0.867 0.158
Ba: 0.421 0.133 0.842
Mg: 0.091 0.237 0.182
Mg: 0.909 0.763 0.818
Mg: 0.000 0.500 0.000
Zn: 0.403 0.543 0.807
Zn: 0.597 0.457 0.193

(5)
ZrPt3 after structural relaxation, computed with PBE.

Values from the calculation:
* Fermi-level density of states: 6.193 states/eV per cell
* theoretical density: 16.57 g/cm3
* total energy: -27.9 eV for the cell shown
* calculated volume: 67.8 Å³/f.u.

Cell lengths 2.892, 2.892, 9.358 Å; angles 90.00, 90.00, 120.00 degrees
Sites, in units of the cell vectors:
Pt: 0.000 0.000 0.998
Pt: 0.000 0.000 0.502
Pt: 0.333 0.667 0.250
Zr: 0.333 0.667 0.750

(6)
NpAlIr2 after structural relaxation, computed with PBE.

Values from the calculation:
* Fermi-level density of states: 6.548 states/eV per cell
* relative energy among the computed polymorphs: 0 meV per atom
* theoretical density: 16.57 g/cm3
* calculated volume: 65.0 Å³/f.u.

Cell lengths 2.985, 2.985, 7.292 Å; angles 90.00, 90.00, 90.00 degrees
Each line ends with the local moment (μB).
Sites, in units of the cell vectors:
Np: 0.500 0.500 0.500  2.98
Ir: 0.000 0.000 0.788  -0.13
Ir: 0.000 0.000 0.212  -0.13
Al: 0.500 0.500 0.000  -0.01

(7)
La2HfSi after structural relaxation, computed with PBE.

Values from the calculation:
* Fermi-level density of states: 4.754 states/eV per cell
* energy relative to the elements, uncorrected: 0.12 eV/atom
* theoretical density: 7.31 g/cm3
* calculated volume: 110.1 Å³/f.u.

Cell lengths 8.778, 8.778, 6.833 Å; angles 50.03, 50.03, 90.00 degrees
Sites, in units of the cell vectors:
Si: 0.500 0.500 0.000
Si: 0.250 0.750 0.500
Hf: 0.000 0.000 0.000
Hf: 0.750 0.250 0.500
La: 0.579 0.125 0.250
La: 0.171 0.625 0.250
La: 0.375 0.421 0.750
La: 0.875 0.829 0.750

(8)
La2Al3CdPt4 after structural relaxation, computed with PBE.

Values from the calculation:
* Fermi-level density of states: 7.200 states/eV per cell
* theoretical density: 10.15 g/cm3
* total energy: -56.1 eV for the cell shown
* calculated volume: 204.8 Å³/f.u.

Cell lengths 4.359, 4.359, 10.780 Å; angles 90.00, 90.00, 90.00 degrees
Sites, in units of the cell vectors:
La: 0.500 0.000 0.244
La: 0.000 0.500 0.756
Al: 0.000 0.000 0.500
Al: 0.500 0.000 0.883
Al: 0.000 0.500 0.117
Cd: 0.500 0.500 0.500
Pt: 0.500 0.500 0.000
Pt: 0.000 0.000 0.000
Pt: 0.500 0.000 0.652
Pt: 0.000 0.500 0.348

(9)
Ac2Al4Zn3Au after structural relaxation, computed with PBE.

Values from the calculation:
* Fermi-level density of states: 4.149 states/eV per cell
* theoretical density: 7.32 g/cm3
* total energy: -34.9 eV for the cell shown
* calculated volume: 216.5 Å³/f.u.

Cell lengths 4.471, 4.471, 10.834 Å; angles 90.00, 90.00, 90.00 degrees
Sites, in units of the cell vectors:
Ac: 0.500 0.000 0.251
Ac: 0.000 0.500 0.749
Al: 0.500 0.500 0.000
Al: 0.000 0.000 0.000
Al: 0.500 0.000 0.625
Al: 0.000 0.500 0.375
Zn: 0.000 0.000 0.500
Zn: 0.500 0.000 0.866
Zn: 0.000 0.500 0.134
Au: 0.500 0.500 0.500

(10)
Ba3Pt after structural relaxation, computed with PBE.

Values from the calculation:
* Fermi-level density of states: 12.096 states/eV per cell
* theoretical density: 6.64 g/cm3
* total energy: -23.3 eV for the cell shown
* calculated volume: 151.8 Å³/f.u.

Cell lengths 6.720, 6.720, 6.720 Å; angles 90.00, 90.00, 90.00 degrees
Each line ends with the local moment (μB).
Sites, in units of the cell vectors:
Ba: 0.000 0.250 0.500  0.10
Ba: 0.000 0.750 0.500  0.10
Ba: 0.250 0.500 0.000  0.10
Ba: 0.500 0.000 0.250  0.10
Ba: 0.500 0.000 0.750  0.10
Ba: 0.750 0.500 0.000  0.10
Pt: 0.000 0.000 0.000  0.04
Pt: 0.500 0.500 0.500  0.04

(11)
Ti6HS2 after structural relaxation, computed with PBE.

Values from the calculation:
* Fermi-level density of states: 6.762 states/eV per cell
* theoretical density: 4.83 g/cm3
* total energy: -66.2 eV for the cell shown
* calculated volume: 121.2 Å³/f.u.

Cell lengths 3.329, 4.983, 7.756 Å; angles 89.50, 90.00, 109.51 degrees
Sites, in units of the cell vectors:
Ti: 0.858 0.716 0.447
Ti: 0.142 0.284 0.553
Ti: 0.859 0.719 0.047
Ti: 0.141 0.281 0.953
Ti: 0.550 0.100 0.244
Ti: 0.450 0.900 0.756
H: 0.500 0.000 0.500
S: 0.259 0.518 0.250
S: 0.741 0.482 0.750

(12)
LaCeIr after structural relaxation, computed with PBE.

Values from the calculation:
* Fermi-level density of states: 5.173 states/eV per cell
* relative energy among the computed polymorphs: 113 meV per atom
* theoretical density: 10.33 g/cm3
* calculated volume: 75.8 Å³/f.u.

Cell lengths 4.223, 4.552, 4.552 Å; angles 120.00, 90.00, 90.00 degrees
Sites, in units of the cell vectors:
Ir: 0.023 0.000 0.000
Ce: 0.287 0.333 0.667
La: 0.691 0.667 0.333

(13)
Pr2Nd3Dy8 after structural relaxation, computed with PBE.

Values from the calculation:
* Fermi-level density of states: 23.152 states/eV per cell
* relative energy among the computed polymorphs: 228 meV per atom
* theoretical density: 7.44 g/cm3
* calculated volume: 449.8 Å³/f.u.

Cell lengths 5.636, 7.719, 11.036 Å; angles 110.47, 90.03, 90.00 degrees
Sites, in units of the cell vectors:
Pr: 0.499 0.241 0.483
Pr: 0.501 0.759 0.517
Nd: 0.500 0.000 0.000
Nd: 0.000 0.293 0.000
Nd: 0.000 0.707 0.000
Dy: 0.001 0.664 0.329
Dy: 0.999 0.336 0.671
Dy: 0.000 0.131 0.262
Dy: 0.000 0.869 0.738
Dy: 0.500 0.603 0.785
Dy: 0.500 0.182 0.785
Dy: 0.500 0.818 0.215
Dy: 0.500 0.397 0.215

(14)
Pm6Nd12In after structural relaxation, computed with PBE.

Values from the calculation:
* Fermi-level density of states: 30.160 states/eV per cell
* relative energy among the computed polymorphs: 18 meV per atom
* theoretical density: 6.73 g/cm3
* calculated volume: 670.1 Å³/f.u.

Cell lengths 8.843, 8.843, 8.843 Å; angles 97.83, 97.83, 97.83 degrees
Sites, in units of the cell vectors:
Pm: 0.134 0.136 0.406
Pm: 0.864 0.594 0.866
Pm: 0.594 0.866 0.864
Pm: 0.866 0.864 0.594
Pm: 0.136 0.406 0.134
Pm: 0.406 0.134 0.136
Nd: 0.581 0.172 0.581
Nd: 0.172 0.581 0.581
Nd: 0.581 0.581 0.172
Nd: 0.419 0.828 0.419
Nd: 0.828 0.419 0.419
Nd: 0.419 0.419 0.828
Nd: 0.259 0.001 0.741
Nd: 0.259 0.741 0.999
Nd: 0.999 0.259 0.741
Nd: 0.741 0.999 0.259
Nd: 0.741 0.259 0.001
Nd: 0.001 0.741 0.259
In: 0.000 0.000 0.000

(15)
In2GeOs after structural relaxation, computed with PBE.

Values from the calculation:
* Fermi-level density of states: 4.202 states/eV per cell
* theoretical density: 10.27 g/cm3
* total energy: -83.9 eV for the cell shown
* calculated volume: 79.7 Å³/f.u.

Cell lengths 5.257, 18.857, 3.215 Å; angles 90.00, 90.00, 90.00 degrees
Sites, in units of the cell vectors:
In: 0.000 0.296 0.500
In: 0.000 0.704 0.500
In: 0.500 0.796 0.500
In: 0.500 0.204 0.500
In: 0.000 0.864 0.000
In: 0.000 0.136 0.000
In: 0.500 0.364 0.000
In: 0.500 0.636 0.000
Ge: 0.762 0.000 0.500
Ge: 0.238 0.000 0.500
Ge: 0.262 0.500 0.500
Ge: 0.738 0.500 0.500
Os: 0.000 0.421 0.000
Os: 0.000 0.579 0.000
Os: 0.500 0.921 0.000
Os: 0.500 0.079 0.000

(16)
BeAsAu after structural relaxation, computed with PBE.

Values from the calculation:
* Fermi-level density of states: 0.542 states/eV per cell
* theoretical density: 8.79 g/cm3
* total energy: -23.4 eV for the cell shown
* calculated volume: 53.1 Å³/f.u.

Cell lengths 6.007, 4.565, 3.995 Å; angles 90.01, 89.98, 104.38 degrees
Sites, in units of the cell vectors:
Be: 0.945 0.679 0.273
Be: 0.445 0.179 0.879
As: 0.743 0.592 0.774
As: 0.243 0.093 0.378
Au: 0.361 0.655 0.078
Au: 0.861 0.155 0.074

(17)
Ba5Cl3F12 after structural relaxation, computed with PBE.

Values from the calculation:
* Fermi-level density of states: 29.694 states/eV per cell
* energy relative to the elements, uncorrected: -2.51 eV/atom
* theoretical density: 3.39 g/cm3
* calculated volume: 499.9 Å³/f.u.

Cell lengths 13.747, 13.747, 13.747 Å; angles 109.47, 109.47, 109.47 degrees
Each line ends with the local moment (μB).
Sites, in units of the cell vectors:
Cl: 0.750 0.375 0.125  0.86
Cl: 0.875 0.750 0.125  0.86
Cl: 0.375 0.750 0.625  0.86
Cl: 0.250 0.125 0.375  0.86
Cl: 0.875 0.125 0.250  0.86
Cl: 0.375 0.625 0.250  0.86
Cl: 0.625 0.375 0.750  0.86
Cl: 0.125 0.875 0.750  0.86
Cl: 0.750 0.875 0.625  0.86
Cl: 0.625 0.250 0.375  0.86
Cl: 0.125 0.250 0.875  0.86
Cl: 0.250 0.625 0.875  0.86
Ba: 0.125 0.375 0.250  0.01
Ba: 0.000 0.500 0.000  0.00
Ba: 0.000 0.000 0.000  0.00
Ba: 0.375 0.250 0.125  0.01
Ba: 0.500 0.000 0.500  0.00
Ba: 0.500 0.500 0.000  0.00
Ba: 0.125 0.750 0.375  0.01
Ba: 0.750 0.125 0.875  0.01
Ba: 0.750 0.625 0.375  0.01
Ba: 0.375 0.125 0.750  0.01
Ba: 0.625 0.875 0.250  0.01
Ba: 0.500 0.500 0.500  0.00
Ba: 0.500 0.000 0.000  0.00
Ba: 0.000 0.000 0.500  0.00
Ba: 0.250 0.375 0.625  0.01
Ba: 0.250 0.875 0.125  0.01
Ba: 0.000 0.500 0.500  0.00
Ba: 0.875 0.250 0.625  0.01
Ba: 0.625 0.750 0.875  0.01
Ba: 0.875 0.625 0.750  0.01
F: 0.713 0.089 0.028  0.13
F: 0.316 0.528 0.439  0.13
F: 0.972 0.411 0.287  0.13
F: 0.528 0.213 0.089  0.13
F: 0.624 0.713 0.684  0.13
F: 0.972 0.561 0.184  0.13
F: 0.316 0.787 0.376  0.13
F: 0.061 0.876 0.089  0.13
F: 0.561 0.972 0.684  0.13
F: 0.713 0.624 0.184  0.13
F: 0.787 0.472 0.411  0.13
F: 0.816 0.939 0.028  0.13
F: 0.089 0.713 0.528  0.13
F: 0.411 0.439 0.124  0.13
F: 0.124 0.939 0.411  0.13
F: 0.376 0.089 0.561  0.13
F: 0.124 0.184 0.213  0.13
F: 0.472 0.684 0.061  0.13
F: 0.816 0.876 0.287  0.13
F: 0.089 0.376 0.061  0.13
F: 0.411 0.972 0.787  0.13
F: 0.561 0.589 0.376  0.13
F: 0.939 0.816 0.528  0.13
F: 0.787 0.316 0.876  0.13
F: 0.439 0.411 0.624  0.13
F: 0.061 0.184 0.472  0.13
F: 0.213 0.684 0.124  0.13
F: 0.184 0.124 0.713  0.13
F: 0.589 0.028 0.213  0.13
F: 0.911 0.624 0.939  0.13
F: 0.528 0.316 0.939  0.13
F: 0.624 0.911 0.439  0.13
F: 0.876 0.816 0.787  0.13
F: 0.876 0.061 0.589  0.13
F: 0.911 0.287 0.472  0.13
F: 0.184 0.061 0.972  0.13
F: 0.589 0.561 0.876  0.13
F: 0.439 0.028 0.316  0.13
F: 0.287 0.376 0.816  0.13
F: 0.213 0.528 0.589  0.13
F: 0.939 0.124 0.911  0.13
F: 0.684 0.213 0.624  0.13
F: 0.472 0.787 0.911  0.13
F: 0.028 0.439 0.816  0.13
F: 0.376 0.287 0.316  0.13
F: 0.028 0.589 0.713  0.13
F: 0.684 0.472 0.561  0.13
F: 0.287 0.911 0.972  0.13

(18)
AlZn5Ag after structural relaxation, computed with PBE.

Values from the calculation:
* Fermi-level density of states: 3.163 states/eV per cell
* relative energy among the computed polymorphs: 0 meV per atom
* theoretical density: 6.67 g/cm3
* calculated volume: 114.9 Å³/f.u.

Cell lengths 5.275, 6.872, 6.872 Å; angles 97.85, 103.83, 103.83 degrees
Sites, in units of the cell vectors:
Al: 0.750 0.353 0.147
Al: 0.250 0.647 0.853
Zn: 0.513 0.896 0.660
Zn: 0.638 0.765 0.235
Zn: 0.013 0.160 0.396
Zn: 0.750 0.609 0.891
Zn: 0.862 0.265 0.735
Zn: 0.138 0.735 0.265
Zn: 0.250 0.391 0.109
Zn: 0.987 0.840 0.604
Zn: 0.362 0.235 0.765
Zn: 0.487 0.104 0.340
Ag: 0.000 0.000 0.000
Ag: 0.500 0.500 0.500

(19)
SrYCu after structural relaxation, computed with PBE.

Values from the calculation:
* Fermi-level density of states: 2.921 states/eV per cell
* relative energy among the computed polymorphs: 0 meV per atom
* theoretical density: 4.50 g/cm3
* calculated volume: 88.6 Å³/f.u.

Cell lengths 7.161, 7.162, 3.641 Å; angles 75.27, 75.28, 29.46 degrees
Sites, in units of the cell vectors:
Cu: 0.019 0.019 0.981
Sr: 0.358 0.358 0.642
Y: 0.624 0.624 0.376

(20)
Li2LaTc after structural relaxation, computed with PBE.

Values from the calculation:
* Fermi-level density of states: 3.763 states/eV per cell
* relative energy among the computed polymorphs: 90 meV per atom
* theoretical density: 5.08 g/cm3
* calculated volume: 82.0 Å³/f.u.

Cell lengths 4.353, 3.158, 6.092 Å; angles 78.34, 90.00, 90.00 degrees
Sites, in units of the cell vectors:
La: 0.500 0.677 0.680
Li: 0.000 0.006 0.069
Li: 0.500 0.332 0.243
Tc: 0.000 0.485 0.508

(21)
BeAsOs3 after structural relaxation, computed with PBE.

Values from the calculation:
* Fermi-level density of states: 3.922 states/eV per cell
* relative energy among the computed polymorphs: 0 meV per atom
* theoretical density: 15.12 g/cm3
* calculated volume: 71.9 Å³/f.u.

Cell lengths 4.158, 4.158, 4.158 Å; angles 90.00, 90.00, 90.00 degrees
Each line ends with the local moment (μB).
Sites, in units of the cell vectors:
Be: 0.000 0.000 0.000  -0.01
As: 0.500 0.500 0.500  -0.02
Os: 0.000 0.500 0.000  0.26
Os: 0.000 0.000 0.500  0.15
Os: 0.500 0.000 0.000  0.21